# 1
! BaLiFeTe2, relaxed, DFT PBE-GGA; values from VASP
! uncorrected formation energy	-0.77	eV/f.u.
! polymorph energy (0 for the lowest one)	0.371	eV per atom
&SYSTEM
  ibrav = 0, nat = 5, ntyp = 4
/
ATOMIC_SPECIES
Ba 137.33 Ba.upf
Li 6.94 Li.upf
Fe 55.84 Fe.upf
Te 127.60 Te.upf
ATOMIC_POSITIONS crystal
Ba 0.000 0.000 0.000
Li 0.500 0.500 0.000
Fe 0.000 0.000 0.500
Te 0.000 0.500 0.500
Te 0.500 0.000 0.500
CELL_PARAMETERS angstrom
5.403 0.000 0.000
0.000 5.403 0.000
0.000 0.000 5.270

***

# 2
! SrBe2CuAu, relaxed, DFT PBE-GGA; values from VASP
! energy relative to the elements	0.111	eV/atom
&SYSTEM
  ibrav = 0, nat = 5, ntyp = 4
/
ATOMIC_SPECIES
Sr 87.62 Sr.upf
Be 9.01 Be.upf
Cu 63.55 Cu.upf
Au 196.97 Au.upf
ATOMIC_POSITIONS crystal
Sr 0.000 0.000 0.000
Be 0.000 0.500 0.500
Be 0.500 0.000 0.500
Cu 0.500 0.500 0.000
Au 0.500 0.500 0.500
CELL_PARAMETERS angstrom
4.451 0.000 0.000
0.000 4.451 0.000
0.000 0.000 4.961

***

# 3
! LaHo2TmS6, relaxed, DFT PBE-GGA; values from VASP
! uncorrected formation energy	-20.78	eV/f.u.
&SYSTEM
  ibrav = 0, nat = 10, ntyp = 4
/
ATOMIC_SPECIES
La 138.91 La.upf
Ho 164.93 Ho.upf
Tm 168.93 Tm.upf
S 32.06 S.upf
ATOMIC_POSITIONS crystal
La 0.000 0.000 0.000
Ho 0.288 0.288 0.288
Ho 0.793 0.793 0.793
Tm 0.490 0.490 0.490
S 0.085 0.665 0.419
S 0.195 0.582 0.889
S 0.419 0.085 0.665
S 0.582 0.889 0.195
S 0.665 0.419 0.085
S 0.889 0.195 0.582
CELL_PARAMETERS angstrom
3.489 2.015 6.163
-3.489 2.015 6.163
0.000 -4.029 6.163

***

# 4
! Mg5HgBi2Rh2, relaxed, DFT PBE-GGA; values from VASP
! energy relative to the elements	-0.255	eV/atom
&SYSTEM
  ibrav = 0, nat = 20, ntyp = 4
/
ATOMIC_SPECIES
Mg 24.30 Mg.upf
Hg 200.59 Hg.upf
Bi 208.98 Bi.upf
Rh 102.91 Rh.upf
ATOMIC_POSITIONS crystal
Mg 0.000 0.500 0.000
Mg 0.059 0.211 0.000
Mg 0.211 0.941 0.000
Mg 0.289 0.441 0.000
Mg 0.441 0.711 0.000
Mg 0.500 0.000 0.000
Mg 0.559 0.289 0.000
Mg 0.711 0.559 0.000
Mg 0.789 0.059 0.000
Mg 0.941 0.789 0.000
Hg 0.000 0.000 0.500
Hg 0.500 0.500 0.500
Bi 0.177 0.677 0.500
Bi 0.323 0.177 0.500
Bi 0.677 0.823 0.500
Bi 0.823 0.323 0.500
Rh 0.127 0.373 0.500
Rh 0.373 0.873 0.500
Rh 0.627 0.127 0.500
Rh 0.873 0.627 0.500
CELL_PARAMETERS angstrom
10.992 0.000 0.000
0.000 10.992 0.000
0.000 0.000 3.522

***

# 5
! RbLiPb, relaxed, DFT PBE-GGA; values from VASP
! polymorph energy (0 for the lowest one)	0.105	eV per atom
! energy relative to the elements	0.004	eV/atom
&SYSTEM
  ibrav = 0, nat = 3, ntyp = 3
/
ATOMIC_SPECIES
Rb 85.47 Rb.upf
Li 6.94 Li.upf
Pb 207.20 Pb.upf
ATOMIC_POSITIONS crystal
Rb 0.000 0.000 0.000
Li 0.667 0.333 0.504
Pb 0.333 0.667 0.499
CELL_PARAMETERS angstrom
5.719 0.000 0.000
-2.859 4.953 0.000
0.000 0.000 3.623

***

Number 3 is which compound?
LaHo2TmS6